[1]
## Ho2HgRh (GGA-PBE)

Data for a relaxed Ho2HgRh crystal.

- Spin magnetization: 0.00 μB/cell
- Electronic total energy: -77.30 eV per cell
- Energy relative to the lowest polymorph listed for this composition: 7.9 kJ per mole of atoms

Cell: 7.1093 7.1093 7.1093 Å, 90.00 90.00 90.00°
Space group Fm-3m (No. 225)
Symmetry-distinct sites (fractional):
1 Ho 0.2500 0.2500 0.2500 [8 per cell]
2 Hg 0.0000 0.0000 0.0000 [4 per cell]
3 Rh 0.0000 0.0000 0.5000 [4 per cell]

[2]
## HoHg2Rh (GGA-PBE)

Data for a relaxed HoHg2Rh crystal.

- Spin magnetization: 0.00 μB/cell
- Electronic total energy: -54.81 eV per cell

Cell: 6.9066 6.9066 6.9066 Å, 90.00 90.00 90.00°
Space group Fm-3m (No. 225)
Symmetry-distinct sites (fractional):
1 Ho 0.0000 0.0000 0.0000 [4 per cell]
2 Hg 0.2500 0.2500 0.2500 [8 per cell]
3 Rh 0.0000 0.0000 0.5000 [4 per cell]

[3]
## Ho5HgRh2 (GGA-PBE)

Data for a relaxed Ho5HgRh2 crystal.

- Spin magnetization: 0.00 μB/cell
- Electronic total energy: -172.57 eV per cell

Cell: 7.6895 7.6895 13.3906 Å, 90.00 90.00 90.00°
Space group I4/mcm (No. 140)
Symmetry-distinct sites (fractional):
1 Ho 0.0000 0.0000 0.0000 [4 per cell]
2 Ho 0.1605 0.3395 0.1364 [16 per cell]
3 Hg 0.0000 0.0000 0.2500 [4 per cell]
4 Rh 0.1396 0.3604 0.5000 [8 per cell]

[4]
## Ho4Hg3Rh (GGA-PBE)

Data for a relaxed Ho4Hg3Rh crystal.

- Spin magnetization: 0.00 μB/cell
- Electronic total energy: -31.26 eV per cell

Cell: 3.5846 3.5846 14.9223 Å, 90.00 90.00 90.00°
Space group P4/mmm (No. 123)
Symmetry-distinct sites (fractional):
1 Ho 0.0000 0.0000 0.1079 [2 per cell]
2 Ho 0.0000 0.0000 0.3709 [2 per cell]
3 Hg 0.5000 0.5000 0.2439 [2 per cell]
4 Hg 0.5000 0.5000 0.5000 [1 per cell]
5 Rh 0.5000 0.5000 0.0000 [1 per cell]

[5]
## Ho4HgRh5 (GGA-PBE)

Data for a relaxed Ho4HgRh5 crystal.

- Spin magnetization: 0.00 μB/cell
- Electronic total energy: -62.66 eV per cell

Cell: 3.4162 3.4162 16.5132 Å, 90.00 90.00 90.00°
Space group P4/mmm (No. 123)
Symmetry-distinct sites (fractional):
1 Ho 0.0000 0.0000 0.1030 [2 per cell]
2 Ho 0.0000 0.0000 0.3095 [2 per cell]
3 Hg 0.0000 0.0000 0.5000 [1 per cell]
4 Rh 0.5000 0.5000 0.0000 [1 per cell]
5 Rh 0.5000 0.5000 0.2034 [2 per cell]
6 Rh 0.5000 0.5000 0.4036 [2 per cell]

[6]
## Ho2HgRh (GGA-PBE)

Data for a relaxed Ho2HgRh crystal.

- Spin magnetization: 0.00 μB/cell
- Electronic total energy: -57.56 eV per cell
- Energy relative to the lowest polymorph listed for this composition: 11.2 kJ per mole of atoms

Cell: 3.9885 3.9885 22.5269 Å, 90.00 90.00 120.00°
Space group R3m (No. 160, hexagonal axes)
Symmetry-distinct sites (fractional):
1 Ho 0.0000 0.0000 0.0000 [3 per cell]
2 Ho 0.0000 0.0000 0.1994 [3 per cell]
3 Hg 0.0000 0.0000 0.4336 [3 per cell]
4 Rh 0.0000 0.0000 0.5984 [3 per cell]

[7]
## Ho6HgRh2 (GGA-PBE)

Data for a relaxed Ho6HgRh2 crystal.

- Spin magnetization: 0.00 μB/cell
- Electronic total energy: -92.89 eV per cell
- Energy relative to the lowest polymorph listed for this composition: 12.7 kJ per mole of atoms

Cell: 10.2060 4.9616 9.1221 Å, 90.00 101.57 90.00°
Space group C2/m (No. 12)
Symmetry-distinct sites (fractional):
1 Ho 0.0367 0.0000 0.3420 [4 per cell]
2 Ho 0.1556 0.5000 0.8900 [4 per cell]
3 Ho 0.2193 0.5000 0.3354 [4 per cell]
4 Hg 0.0000 0.0000 0.0000 [2 per cell]
5 Rh 0.1251 0.5000 0.5978 [4 per cell]

[8]
## Ho6HgRh2 (GGA-PBE)

Data for a relaxed Ho6HgRh2 crystal.

- Spin magnetization: 0.00 μB/cell
- Electronic total energy: -190.54 eV per cell
- Energy relative to the lowest polymorph listed for this composition: 0.0 kJ per mole of atoms

Cell: 9.3016 9.5482 10.3018 Å, 90.00 90.00 90.00°
Space group Immm (No. 71)
Symmetry-distinct sites (fractional):
1 Ho 0.0000 0.1986 0.2389 [8 per cell]
2 Ho 0.1937 0.5000 0.1706 [8 per cell]
3 Ho 0.2144 0.3193 0.5000 [8 per cell]
4 Hg 0.0000 0.0000 0.0000 [2 per cell]
5 Hg 0.0000 0.0000 0.5000 [2 per cell]
6 Rh 0.0000 0.3360 0.0000 [4 per cell]
7 Rh 0.0000 0.5000 0.3679 [4 per cell]

[9]
## Ho4Hg5Rh2 (GGA-PBE)

Data for a relaxed Ho4Hg5Rh2 crystal.

- Spin magnetization: 0.00 μB/cell
- Electronic total energy: -40.93 eV per cell

Cell: 7.6950 3.5863 9.4585 Å, 90.00 94.51 90.00°
Space group P2/m (No. 10)
Symmetry-distinct sites (fractional):
1 Ho 0.1808 0.0000 0.3499 [2 per cell]
2 Ho 0.2154 0.0000 0.9376 [2 per cell]
3 Hg 0.1686 0.5000 0.6437 [2 per cell]
4 Hg 0.4574 0.5000 0.1666 [2 per cell]
5 Hg 0.5000 0.5000 0.5000 [1 per cell]
6 Rh 0.0797 0.5000 0.1411 [2 per cell]

[10]
## Ho4HgRuRh2 (GGA-PBE)

Data for a relaxed Ho4HgRuRh2 crystal.

- Spin magnetization: 0.00 μB/cell
- Electronic total energy: -143.39 eV per cell

Cell: 4.9063 4.9063 24.2505 Å, 90.00 90.00 120.00°
Space group R-3m (No. 166, hexagonal axes)
Symmetry-distinct sites (fractional):
1 Ho 0.0000 0.0000 0.1180 [6 per cell]
2 Ho 0.0000 0.0000 0.3705 [6 per cell]
3 Hg 0.0000 0.0000 0.5000 [3 per cell]
4 Ru 0.0000 0.0000 0.0000 [3 per cell]
5 Rh 0.0000 0.0000 0.2517 [6 per cell]

[11]
## HoScHgRh (GGA-PBE)

Data for a relaxed HoScHgRh crystal.

- Spin magnetization: 0.00 μB/cell
- Electronic total energy: -83.95 eV per cell
- Energy relative to the lowest polymorph listed for this composition: 9.7 kJ per mole of atoms

Cell: 6.9412 6.9412 6.9412 Å, 90.00 90.00 90.00°
Space group F-43m (No. 216)
Symmetry-distinct sites (fractional):
1 Ho 0.0000 0.0000 0.0000 [4 per cell]
2 Sc 0.0000 0.0000 0.5000 [4 per cell]
3 Hg 0.2500 0.2500 0.2500 [4 per cell]
4 Rh 0.2500 0.2500 0.7500 [4 per cell]

[12]
## HoScHgRh (GGA-PBE)

Data for a relaxed HoScHgRh crystal.

- Spin magnetization: 0.00 μB/cell
- Electronic total energy: -21.39 eV per cell
- Energy relative to the lowest polymorph listed for this composition: 0.0 kJ per mole of atoms

Cell: 3.3933 3.3933 7.2840 Å, 90.00 90.00 90.00°
Space group P4mm (No. 99)
Symmetry-distinct sites (fractional):
1 Ho 0.0000 0.0000 0.0000 [1 per cell]
2 Sc 0.0000 0.0000 0.5591 [1 per cell]
3 Hg 0.5000 0.5000 0.2999 [1 per cell]
4 Rh 0.5000 0.5000 0.7610 [1 per cell]

| no. | DFT formation energy (eV per atom) |
| --- | --- |
| 1 | -0.63 |
| 2 | -0.29 |
| 3 | -0.66 |
| 4 | -0.59 |
| 5 | -0.73 |
| 6 | -0.59 |
| 7 | -0.44 |
| 8 | -0.57 |
| 9 | -0.58 |
| 10 | -0.65 |
| 11 | -0.61 |
| 12 | -0.71 |